! YHo4Tm10 PBE-GGA optimized geometry; values from VASP
&SYSTEM
  ibrav = 0, nat = 15, ntyp = 3
/
ATOMIC_SPECIES
Y 88.91 Y.upf
Ho 164.93 Ho.upf
Tm 168.93 Tm.upf
CELL_PARAMETERS angstrom
1.077 -6.790 3.208
-1.339 -7.176 -5.770
8.737 -3.142 -0.613
ATOMIC_POSITIONS angstrom
Y 0.000 0.000 0.000
Ho 2.855 -9.715 -3.581
Ho 7.052 -12.250 -1.386
Ho 1.424 -4.857 -1.789
Ho 5.620 -7.393 0.406
Tm 3.968 -6.857 -2.389
Tm 8.147 -9.392 -0.210
Tm 2.552 -2.012 -0.609
Tm 5.387 -11.717 -4.162
Tm 0.864 -11.095 -1.369
Tm 0.328 -7.716 -2.965
Tm 4.507 -10.251 -0.785
Tm 7.611 -6.013 -1.806
Tm 3.088 -5.391 0.987
Tm 5.923 -15.096 -2.565
! - space group = No. 87
! - energy of formation from the pure elements (meV/atom) = 738

! CePmRh PBE-GGA optimized geometry; values from VASP
&SYSTEM
  ibrav = 0, nat = 6, ntyp = 3
/
ATOMIC_SPECIES
Ce 140.12 Ce.upf
Pm 145.00 Pm.upf
Rh 102.91 Rh.upf
CELL_PARAMETERS angstrom
3.843 -0.192 0.014
0.243 4.861 -0.063
0.174 0.097 8.044
ATOMIC_POSITIONS angstrom
Ce 3.521 1.702 7.062
Ce 1.429 4.252 7.670
Pm 3.410 4.110 4.412
Pm 1.366 1.748 2.276
Rh 3.310 4.078 1.553
Rh 1.467 1.780 5.135
! - space group = No. 11
! - energy of formation from the pure elements (meV/atom) = -492
! - energy above the most stable polymorph in this dataset (eV/atom) = 0.000

! AlCoPb3 PBE-GGA optimized geometry; values from VASP
&SYSTEM
  ibrav = 0, nat = 5, ntyp = 3
/
ATOMIC_SPECIES
Pb 207.20 Pb.upf
Co 58.93 Co.upf
Al 26.98 Al.upf
CELL_PARAMETERS angstrom
-4.929 2.171 0.363
-1.789 -3.433 -3.761
-1.281 -3.555 3.855
ATOMIC_POSITIONS angstrom
Pb -0.895 -1.717 -1.880
Pb -0.641 -1.777 1.927
Pb -2.464 1.085 0.182
Co -4.000 -2.409 0.229
Al 0.000 0.000 0.000
! - space group = No. 221
! - energy of formation from the pure elements (meV/atom) = 999
! - energy above the most stable polymorph in this dataset (eV/atom) = 0.618

! InAgGe PBE-GGA optimized geometry; values from VASP
&SYSTEM
  ibrav = 0, nat = 6, ntyp = 3
/
ATOMIC_SPECIES
Ge 72.64 Ge.upf
Ag 107.87 Ag.upf
In 114.82 In.upf
CELL_PARAMETERS angstrom
-1.150 4.112 1.216
-2.678 1.016 -5.966
-3.896 -1.529 1.485
ATOMIC_POSITIONS angstrom
Ge -3.186 1.641 -4.988
Ge -4.292 2.391 -0.467
Ag -3.052 3.427 -2.794
Ag -4.425 0.607 -2.660
In -1.634 1.049 -1.518
In -5.843 2.983 -3.936
! - space group = No. 129
! - energy of formation from the pure elements (meV/atom) = 155

! Tb2PmNd7 PBE-GGA optimized geometry; values from VASP
&SYSTEM
  ibrav = 0, nat = 10, ntyp = 3
/
ATOMIC_SPECIES
Tb 158.93 Tb.upf
Pm 145.00 Pm.upf
Nd 144.24 Nd.upf
CELL_PARAMETERS angstrom
5.716 0.000 0.000
0.000 9.316 -0.489
0.000 -4.639 8.093
ATOMIC_POSITIONS angstrom
Tb 2.858 5.189 2.049
Tb 2.858 -0.512 5.556
Pm 0.000 0.000 0.000
Nd 0.000 6.176 1.442
Nd 0.000 -1.499 6.162
Nd 2.858 -0.763 2.350
Nd 2.858 5.440 5.255
Nd 2.858 2.441 0.379
Nd 2.858 2.235 7.226
Nd 2.858 2.338 3.802
! - space group = No. 65
! - energy of formation from the pure elements (meV/atom) = 634
! - energy above the most stable polymorph in this dataset (eV/atom) = 0.262

! AgSb PBE-GGA optimized geometry; values from VASP
&SYSTEM
  ibrav = 0, nat = 4, ntyp = 2
/
ATOMIC_SPECIES
Sb 121.76 Sb.upf
Ag 107.87 Ag.upf
CELL_PARAMETERS angstrom
5.106 0.000 0.000
2.553 4.422 0.000
2.553 1.474 4.169
ATOMIC_POSITIONS angstrom
Sb 5.106 2.948 2.085
Sb 7.660 4.422 3.127
Ag 0.000 0.000 0.000
Ag 2.553 1.474 1.042
! - space group = No. 227
! - energy above the most stable polymorph in this dataset (eV/atom) = 0.173

! AcNdNiRu PBE-GGA optimized geometry; values from VASP
&SYSTEM
  ibrav = 0, nat = 4, ntyp = 4
/
ATOMIC_SPECIES
Ru 101.07 Ru.upf
Ac 227.00 Ac.upf
Nd 144.24 Nd.upf
Ni 58.69 Ni.upf
CELL_PARAMETERS angstrom
-1.480 4.695 -1.284
-4.612 1.671 1.348
-0.460 3.589 3.576
ATOMIC_POSITIONS angstrom
Ru -4.914 7.466 2.730
Ac -3.276 4.978 1.820
Nd 0.000 0.000 0.000
Ni -1.638 2.489 0.910
! - space group = No. 216
! - energy of formation from the pure elements (meV/atom) = -86
! - energy above the most stable polymorph in this dataset (eV/atom) = 0.108

! Pm7Sn5Sb PBE-GGA optimized geometry; values from VASP
&SYSTEM
  ibrav = 0, nat = 13, ntyp = 3
/
ATOMIC_SPECIES
Pm 145.00 Pm.upf
Sn 118.71 Sn.upf
Sb 121.76 Sb.upf
CELL_PARAMETERS angstrom
6.303 0.000 0.000
3.151 7.924 -0.219
3.151 -0.245 7.923
ATOMIC_POSITIONS angstrom
Pm 6.303 2.775 2.784
Pm 6.303 5.910 5.930
Pm 3.151 2.359 5.165
Pm 3.151 5.157 2.376
Pm 3.151 1.680 1.686
Pm 6.303 6.407 0.888
Pm 6.303 0.868 6.410
Sn 7.868 7.733 3.595
Sn 4.737 7.733 3.595
Sn 7.868 3.570 7.744
Sn 4.737 3.570 7.744
Sn 9.454 5.568 5.586
Sb 6.303 0.423 0.424
! - space group = No. 44

! PrSm4Y4 PBE-GGA optimized geometry; values from VASP
&SYSTEM
  ibrav = 0, nat = 9, ntyp = 3
/
ATOMIC_SPECIES
Pr 140.91 Pr.upf
Sm 150.36 Sm.upf
Y 88.91 Y.upf
CELL_PARAMETERS angstrom
5.097 0.000 0.000
2.548 7.667 0.000
2.548 0.000 7.667
ATOMIC_POSITIONS angstrom
Pr 0.000 0.000 0.000
Sm 5.097 2.558 2.557
Sm 5.097 5.109 5.109
Sm 7.645 5.109 2.558
Sm 2.548 2.557 5.109
Y 7.645 5.105 7.667
Y 2.548 2.562 0.000
Y 5.097 0.000 5.105
Y 5.097 7.667 2.562
! - space group = No. 139
! - energy of formation from the pure elements (meV/atom) = 16

! Er3Ga3Ru PBE-GGA optimized geometry; values from VASP
&SYSTEM
  ibrav = 0, nat = 14, ntyp = 3
/
ATOMIC_SPECIES
Er 167.26 Er.upf
Ga 69.72 Ga.upf
Ru 101.07 Ru.upf
CELL_PARAMETERS angstrom
4.112 0.000 0.619
2.023 5.416 0.528
0.059 0.144 13.565
ATOMIC_POSITIONS angstrom
Er 2.867 1.818 8.885
Er 3.328 3.741 5.827
Er 1.574 1.364 3.507
Er 4.620 4.195 11.205
Er 2.259 1.728 12.921
Er 3.936 3.831 1.791
Ga 5.064 4.020 8.259
Ga 1.131 1.540 6.453
Ga 2.238 4.773 13.057
Ga 3.956 0.786 1.655
Ga 5.677 4.547 4.186
Ga 0.517 1.012 10.526
Ru 3.311 0.463 5.936
Ru 2.883 5.096 8.776
! - space group = No. 12
! - energy of formation from the pure elements (meV/atom) = -603

! DyGePt2 PBE-GGA optimized geometry; values from VASP
&SYSTEM
  ibrav = 0, nat = 4, ntyp = 3
/
ATOMIC_SPECIES
Dy 162.50 Dy.upf
Ge 72.64 Ge.upf
Pt 195.08 Pt.upf
CELL_PARAMETERS angstrom
-0.628 1.143 -3.326
-2.791 -2.240 -0.242
-0.756 6.434 2.353
ATOMIC_POSITIONS angstrom
Dy -1.710 -0.548 -1.784
Ge -0.692 3.788 -0.486
Pt -0.938 1.109 0.558
Pt -2.608 3.085 1.553
! - space group = No. 47
! - energy of formation from the pure elements (meV/atom) = -775

! IrAu PBE-GGA optimized geometry; values from VASP
&SYSTEM
  ibrav = 0, nat = 32, ntyp = 2
/
ATOMIC_SPECIES
Ir 192.22 Ir.upf
Au 196.97 Au.upf
CELL_PARAMETERS angstrom
-5.525 -0.716 5.651
10.115 -5.289 9.220
0.973 4.515 1.523
ATOMIC_POSITIONS angstrom
Ir 9.249 -4.836 8.430
Ir 0.866 -0.453 0.789
Ir 7.314 -3.470 9.498
Ir 5.582 -2.564 7.919
Ir 4.678 0.066 4.582
Ir 6.410 -0.840 6.161
Ir 2.743 1.432 5.649
Ir 1.011 2.338 4.070
Ir 6.973 -2.936 12.018
Ir -1.410 1.447 4.377
Ir 5.038 -1.570 13.085
Ir 3.306 -0.664 11.506
Ir 1.429 -2.549 6.646
Ir 3.161 -3.455 8.225
Ir -0.506 -1.183 7.714
Ir -2.238 -0.277 6.135
Au -1.834 -0.238 1.876
Au -3.691 -0.478 3.775
Au 2.757 -3.495 12.484
Au 4.614 -3.254 10.585
Au 3.710 -0.624 7.248
Au 1.853 -0.865 9.147
Au -1.814 1.407 8.635
Au 0.043 1.648 6.736
Au -4.111 1.662 5.463
Au -0.442 2.137 1.711
Au 6.006 -0.879 10.419
Au 7.863 -0.639 8.520
Au 0.461 -3.240 9.312
Au 4.129 -2.765 5.559
Au 0.462 -0.493 5.048
Au 2.319 -0.252 3.149
! - space group = No. 70
! - energy of formation from the pure elements (meV/atom) = 560
! - energy above the most stable polymorph in this dataset (eV/atom) = 0.373

Number 1: N(E_F) 1.00 states/eV/atom, E_tot -3.895 eV/atom, magnetic moment 0.00 μB per atom. Number 2: N(E_F) 1.56 states/eV/atom, E_tot -6.504 eV/atom, magnetic moment 0.00 μB per atom. Number 3: N(E_F) 0.39 states/eV/atom, E_tot -3.395 eV/atom, magnetic moment 0.40 μB per atom. Number 4: N(E_F) 0.42 states/eV/atom, E_tot -3.247 eV/atom, magnetic moment 0.00 μB per atom. Number 5: N(E_F) 1.51 states/eV/atom, E_tot -4.104 eV/atom, magnetic moment 0.00 μB per atom. Number 6: N(E_F) 0.31 states/eV/atom, E_tot -3.235 eV/atom, magnetic moment 0.00 μB per atom. Number 7: N(E_F) 1.13 states/eV/atom, E_tot -6.069 eV/atom, magnetic moment 0.00 μB per atom. Number 8: N(E_F) 0.70 states/eV/atom, E_tot -4.971 eV/atom, magnetic moment 0.00 μB per atom. Number 9: N(E_F) 1.45 states/eV/atom, E_tot -5.485 eV/atom, magnetic moment 0.00 μB per atom. Number 10: N(E_F) 0.72 states/eV/atom, E_tot -5.181 eV/atom, magnetic moment 0.00 μB per atom. Number 11: N(E_F) 0.35 states/eV/atom, E_tot -6.101 eV/atom, magnetic moment 0.00 μB per atom. Number 12: N(E_F) 1.47 states/eV/atom, E_tot -5.509 eV/atom, magnetic moment 0.18 μB per atom.